*P*
SbTeS2N | PBE-GGA | relaxed

Density of states at the Fermi level ... 2.9 states/eV per cell

```
data_SbTeS2N
_chemical_formula_sum 'Sb1 Te1 S2 N1'
_symmetry_space_group_name_H-M 'P 1'
_symmetry_Int_Tables_number 1
_cell_length_a 5.157
_cell_length_b 5.157
_cell_length_c 3.894
_cell_angle_alpha 90.00
_cell_angle_beta 90.00
_cell_angle_gamma 90.00
loop_
_symmetry_equiv_pos_as_xyz
'x,y,z'
loop_
_atom_site_label
_atom_site_fract_x
_atom_site_fract_y
_atom_site_fract_z
Sb1 0.000 0.000 0.000
Te1 0.500 0.500 0.500
S1 0.000 0.500 0.000
S2 0.500 0.000 0.000
N1 0.000 0.000 0.500
```

---

*Q*
SbTeS2N | PBE-GGA | relaxed

Density of states at the Fermi level ... 2.5 states/eV per cell

```
data_SbTeS2N
_chemical_formula_sum 'Sb1 Te1 S2 N1'
_symmetry_space_group_name_H-M 'P 1'
_symmetry_Int_Tables_number 1
_cell_length_a 5.175
_cell_length_b 5.175
_cell_length_c 3.937
_cell_angle_alpha 90.00
_cell_angle_beta 90.00
_cell_angle_gamma 90.00
loop_
_symmetry_equiv_pos_as_xyz
'x,y,z'
loop_
_atom_site_label
_atom_site_fract_x
_atom_site_fract_y
_atom_site_fract_z
Sb1 0.000 0.000 0.000
Te1 0.500 0.500 0.500
S1 0.000 0.500 0.500
S2 0.500 0.000 0.500
N1 0.500 0.500 0.000
```

---

Short version: *P* is the most stable of them.

---

*P*
TiSbSN2 | PBE-GGA | relaxed

Density of states at the Fermi level ... 2.2 states/eV per cell

```
data_TiSbSN2
_chemical_formula_sum 'Ti1 Sb1 S1 N2'
_symmetry_space_group_name_H-M 'P 1'
_symmetry_Int_Tables_number 1
_cell_length_a 3.949
_cell_length_b 3.949
_cell_length_c 4.964
_cell_angle_alpha 90.00
_cell_angle_beta 90.00
_cell_angle_gamma 90.00
loop_
_symmetry_equiv_pos_as_xyz
'x,y,z'
loop_
_atom_site_label
_atom_site_fract_x
_atom_site_fract_y
_atom_site_fract_z
Ti1 0.000 0.000 0.000
Sb1 0.500 0.500 0.500
S1 0.000 0.000 0.500
N1 0.000 0.500 0.000
N2 0.500 0.000 0.000
```

---

*Q*
TiSbSN2 | PBE-GGA | relaxed

Density of states at the Fermi level ... 5.6 states/eV per cell

```
data_TiSbSN2
_chemical_formula_sum 'Ti1 Sb1 S1 N2'
_symmetry_space_group_name_H-M 'P 1'
_symmetry_Int_Tables_number 1
_cell_length_a 3.988
_cell_length_b 3.988
_cell_length_c 5.066
_cell_angle_alpha 90.00
_cell_angle_beta 90.00
_cell_angle_gamma 90.00
loop_
_symmetry_equiv_pos_as_xyz
'x,y,z'
loop_
_atom_site_label
_atom_site_fract_x
_atom_site_fract_y
_atom_site_fract_z
Ti1 0.000 0.000 0.000
Sb1 0.500 0.500 0.500
S1 0.500 0.500 0.000
N1 0.000 0.500 0.500
N2 0.500 0.000 0.500
```

---

Short version: *P* is the most stable of them.